Record 1
A geometry-optimized SrInSb3 structure. Source: Alexandria via LeMat-Bulk, functional PBE-GGA.

```
SrInSb3
1.0
6.033 0.000 0.000
0.000 6.033 0.000
0.000 0.000 6.033
Sb Sr In
3 1 1
Cartesian
0.000 3.016 0.000
0.000 0.000 3.016
3.016 0.000 0.000
0.000 0.000 0.000
3.016 3.016 3.016
```

Values from the calculation:
electronic total energy: -2.740 eV per atom
ρ: 4.29 Mg/m³
total magnetization: 0.00 μB/cell
distance to the lowest polymorph of the same formula: 234 kJ/mol of formula units
Fermi-level density of states: 4.3 states/eV/f.u.



Record 2
A geometry-optimized Sr4InSb structure. Source: Alexandria via LeMat-Bulk, functional PBE-GGA.

```
Sr4InSb
1.0
0.000 4.947 4.947
4.947 0.000 4.947
4.947 4.947 0.000
Sr In Sb
4 1 1
Cartesian
6.188 3.705 6.188
3.705 6.188 6.188
6.188 6.188 3.705
3.705 3.705 3.705
7.420 7.420 7.420
0.000 0.000 0.000
```

Values from the calculation:
electronic total energy: -2.079 eV per atom
ρ: 4.03 Mg/m³
total magnetization: 0.00 μB/cell
Fermi-level density of states: 7.8 states/eV/f.u.



Record 3
A geometry-optimized SrInSbTe2 structure. Source: Alexandria via LeMat-Bulk, functional PBE-GGA.

```
SrInSbTe2
1.0
-4.242 -2.165 3.922
1.892 -5.761 -1.134
4.006 0.417 4.563
Sb Te Sr In
1 2 1 1
Cartesian
2.003 0.209 2.282
0.946 -2.881 -0.567
-2.121 -1.083 1.961
0.000 0.000 0.000
0.829 -3.755 3.676
```

Values from the calculation:
electronic total energy: -2.762 eV per atom
ρ: 4.15 Mg/m³
total magnetization: 0.05 μB/cell
distance to the lowest polymorph of the same formula: 193 kJ/mol of formula units
Fermi-level density of states: 6.9 states/eV/f.u.



Record 4
A geometry-optimized SrInSbTe2 structure. Source: Alexandria via LeMat-Bulk, functional PBE-GGA.

```
SrInSbTe2
1.0
-2.137 -0.960 5.335
2.740 -5.140 0.173
4.429 2.435 2.212
Sb Te Sr In
1 2 1 1
Cartesian
2.214 1.218 1.106
1.370 -2.570 0.086
-1.069 -0.480 2.667
2.516 -1.832 3.860
0.000 0.000 0.000
```

Values from the calculation:
electronic total energy: -3.161 eV per atom
ρ: 5.14 Mg/m³
total magnetization: 0.08 μB/cell
distance to the lowest polymorph of the same formula: 0 kJ/mol of formula units
Fermi-level density of states: 6.8 states/eV/f.u.



Record 5
A geometry-optimized SrTiIn2Sb structure. Source: Alexandria via LeMat-Bulk, functional PBE-GGA.

```
SrTiIn2Sb
1.0
5.364 0.000 0.000
0.000 5.283 0.000
0.000 0.000 5.364
Sb Ti Sr In
1 1 1 2
Cartesian
0.000 2.642 0.000
0.000 0.000 0.000
2.682 2.642 2.682
0.000 0.000 2.682
2.682 0.000 0.000
```

Values from the calculation:
electronic total energy: -4.062 eV per atom
ρ: 5.32 Mg/m³
total magnetization: 0.00 μB/cell
Fermi-level density of states: 2.7 states/eV/f.u.



Record 6
A geometry-optimized SrTlInSb2 structure. Source: Alexandria via LeMat-Bulk, functional PBE-GGA.

```
SrTlInSb2
1.0
4.721 0.000 0.000
2.361 8.995 0.947
2.361 2.202 8.618
Sr Tl In Sb
2 2 2 4
Cartesian
7.082 8.748 6.733
2.361 2.449 2.833
4.721 5.660 7.246
4.721 5.537 2.320
2.361 2.576 6.880
7.082 8.621 2.686
4.721 8.114 4.373
4.721 3.083 5.192
4.721 2.304 0.447
4.721 8.894 9.119
```

Values from the calculation:
electronic total energy: -3.397 eV per atom
ρ: 6.06 Mg/m³
total magnetization: 0.00 μB/cell
Fermi-level density of states: 1.1 states/eV/f.u.



Record 7
A geometry-optimized SrTl2InSb2 structure. Source: Alexandria via LeMat-Bulk, functional PBE-GGA.

```
SrTl2InSb2
1.0
-0.038 -2.254 4.186
-1.637 -6.840 -3.698
10.267 -1.941 -0.953
Sr Tl In Sb
2 4 2 4
Cartesian
2.598 -7.598 -4.068
5.235 -4.521 -2.388
0.452 -1.528 1.881
1.196 -2.586 -1.382
8.817 -6.684 -0.820
7.173 -7.291 -3.862
6.743 -3.488 0.882
2.173 -6.199 -0.618
8.290 -3.245 -1.673
3.716 -3.919 0.623
0.391 -5.327 -2.865
4.741 -7.688 -1.397
```

Values from the calculation:
electronic total energy: -3.239 eV per atom
ρ: 7.16 Mg/m³
total magnetization: 0.00 μB/cell
Fermi-level density of states: 2.3 states/eV/f.u.



Record 8
A geometry-optimized Sr2InSbW structure. Source: Alexandria via LeMat-Bulk, functional PBE-GGA.

```
Sr2InSbW
1.0
-0.699 -5.972 -0.572
4.864 -0.404 -1.732
1.953 -0.771 5.663
Sb Sr W In
1 2 1 1
Cartesian
3.059 -3.573 1.680
0.976 -0.386 2.832
-0.350 -2.986 -0.286
2.432 -0.202 -0.866
0.000 0.000 0.000
```

Values from the calculation:
electronic total energy: -3.856 eV per atom
ρ: 5.24 Mg/m³
total magnetization: 2.53 μB/cell
distance to the lowest polymorph of the same formula: 0 kJ/mol of formula units
Fermi-level density of states: 2.7 states/eV/f.u.



Record 9
A geometry-optimized Sr2InSbW structure. Source: Alexandria via LeMat-Bulk, functional PBE-GGA.

```
Sr2InSbW
1.0
6.183 0.000 0.000
0.000 5.602 0.000
0.000 0.000 6.183
Sb Sr W In
1 2 1 1
Cartesian
0.000 0.000 0.000
0.000 0.000 3.091
3.091 0.000 0.000
3.091 2.801 3.091
0.000 2.801 0.000
```

Values from the calculation:
electronic total energy: -3.585 eV per atom
ρ: 4.62 Mg/m³
total magnetization: 4.90 μB/cell
distance to the lowest polymorph of the same formula: 131 kJ/mol of formula units
Fermi-level density of states: 4.6 states/eV/f.u.



Record 10
A geometry-optimized TaInSb2 structure. Source: Alexandria via LeMat-Bulk, functional PBE-GGA.

```
TaInSb2
1.0
5.524 0.006 0.001
1.628 5.278 -0.001
-3.027 -3.386 3.145
In Sb Ta
1 2 1
Cartesian
3.037 -0.369 1.573
7.138 5.273 0.000
3.590 2.652 0.000
1.089 2.267 1.572
```

Values from the calculation:
electronic total energy: -5.305 eV per atom
ρ: 9.77 Mg/m³
total magnetization: 0.00 μB/cell
Fermi-level density of states: 2.3 states/eV/f.u.



Record 11
A geometry-optimized Ta2InSb structure. Source: Alexandria via LeMat-Bulk, functional PBE-GGA.

```
Ta2InSb
1.0
-3.117 2.112 -3.898
-1.100 -3.472 -4.013
-0.319 -0.227 5.405
In Sb Ta
1 1 2
Cartesian
-2.109 -0.680 -3.955
-2.772 0.603 -1.224
0.000 0.000 0.000
-1.764 -2.189 -1.281
```

Values from the calculation:
electronic total energy: -7.312 eV per atom
ρ: 12.43 Mg/m³
total magnetization: 0.00 μB/cell
distance to the lowest polymorph of the same formula: 81 kJ/mol of formula units
Fermi-level density of states: 4.0 states/eV/f.u.



Record 12
A geometry-optimized TaInSb2 structure. Source: Alexandria via LeMat-Bulk, functional PBE-GGA.

```
TaInSb2
1.0
-0.096 -1.715 5.232
2.290 -3.301 3.766
3.740 3.537 2.261
In Sb Ta
1 2 1
Cartesian
1.484 -0.370 2.815
3.692 3.303 2.435
3.015 -0.506 5.455
4.451 -1.110 8.444
```

Values from the calculation:
electronic total energy: -5.421 eV per atom
ρ: 9.55 Mg/m³
total magnetization: 0.00 μB/cell
Fermi-level density of states: 3.1 states/eV/f.u.



Record 13
A geometry-optimized Ta2InSb structure. Source: Alexandria via LeMat-Bulk, functional PBE-GGA.

```
Ta2InSb
1.0
2.959 0.000 0.000
0.000 2.959 0.000
0.000 0.000 10.462
In Sb Ta
1 1 2
Cartesian
0.000 0.000 4.725
1.480 1.480 8.376
0.000 0.000 0.181
1.480 1.480 2.413
```

Values from the calculation:
electronic total energy: -7.381 eV per atom
ρ: 10.84 Mg/m³
total magnetization: 0.00 μB/cell
distance to the lowest polymorph of the same formula: 54 kJ/mol of formula units
Fermi-level density of states: 4.4 states/eV/f.u.



Record 14
A geometry-optimized TaInSb2 structure. Source: Alexandria via LeMat-Bulk, functional PBE-GGA.

```
TaInSb2
1.0
10.710 -0.037 -0.022
10.203 3.257 -0.022
10.203 1.571 2.853
In Sb Ta
1 2 1
Cartesian
7.779 1.198 0.702
0.474 0.073 0.043
15.084 2.322 1.362
23.337 3.593 2.107
```

Values from the calculation:
electronic total energy: -5.611 eV per atom
ρ: 8.83 Mg/m³
total magnetization: 0.00 μB/cell
Fermi-level density of states: 2.9 states/eV/f.u.



Record 15
A geometry-optimized Ta2InSb structure. Source: Alexandria via LeMat-Bulk, functional PBE-GGA.

```
Ta2InSb
1.0
9.817 0.007 0.004
9.323 3.076 0.004
9.323 1.501 2.684
In Sb Ta
1 1 2
Cartesian
7.116 1.146 0.673
21.347 3.438 2.019
0.048 0.008 0.004
14.184 2.284 1.342
```

Values from the calculation:
electronic total energy: -7.327 eV per atom
ρ: 12.30 Mg/m³
total magnetization: 0.00 μB/cell
distance to the lowest polymorph of the same formula: 75 kJ/mol of formula units
Fermi-level density of states: 4.0 states/eV/f.u.



Record 16
A geometry-optimized Ta2InSb structure. Source: Alexandria via LeMat-Bulk, functional PBE-GGA.

```
Ta2InSb
1.0
3.140 0.000 0.000
0.000 5.030 0.000
0.000 0.000 5.030
In Sb Ta
1 1 2
Cartesian
1.570 2.515 0.000
1.570 0.000 2.515
0.000 0.000 0.000
0.000 2.515 2.515
```

Values from the calculation:
electronic total energy: -7.263 eV per atom
ρ: 12.51 Mg/m³
total magnetization: 0.00 μB/cell
distance to the lowest polymorph of the same formula: 99 kJ/mol of formula units
Fermi-level density of states: 2.3 states/eV/f.u.



Record 17
A geometry-optimized TaInSb2 structure. Source: Alexandria via LeMat-Bulk, functional PBE-GGA.

```
TaInSb2
1.0
5.869 0.008 0.000
2.709 5.207 0.000
-4.289 -2.608 3.042
In Sb Ta
1 2 1
Cartesian
2.935 0.004 1.521
0.000 0.000 0.000
1.354 2.603 1.521
4.289 2.608 0.000
```

Values from the calculation:
electronic total energy: -5.224 eV per atom
ρ: 9.64 Mg/m³
total magnetization: 0.00 μB/cell
Fermi-level density of states: 3.4 states/eV/f.u.



Record 18
A geometry-optimized TaInSb2 structure. Source: Alexandria via LeMat-Bulk, functional PBE-GGA.

```
TaInSb2
1.0
-3.442 0.180 0.427
-0.299 -3.334 -1.001
0.823 -2.361 7.619
In Sb Ta
1 2 1
Cartesian
-1.253 -3.348 5.427
0.039 -0.113 0.364
0.372 -1.068 3.445
-1.665 -2.167 1.618
```

Values from the calculation:
electronic total energy: -5.614 eV per atom
ρ: 9.20 Mg/m³
total magnetization: 0.00 μB/cell
Fermi-level density of states: 2.4 states/eV/f.u.



Record 19
A geometry-optimized TaInSb2 structure. Source: Alexandria via LeMat-Bulk, functional PBE-GGA.

```
TaInSb2
1.0
7.409 0.003 0.026
6.773 3.003 0.026
1.580 0.335 4.603
In Sb Ta
1 2 1
Cartesian
3.240 0.687 1.421
1.632 0.346 4.580
12.537 2.657 3.238
7.814 1.656 2.345
```

Values from the calculation:
electronic total energy: -5.474 eV per atom
ρ: 8.76 Mg/m³
total magnetization: 0.00 μB/cell
Fermi-level density of states: 2.7 states/eV/f.u.



Record 20
A geometry-optimized TaInSb2 structure. Source: Alexandria via LeMat-Bulk, functional PBE-GGA.

```
TaInSb2
1.0
3.632 0.000 0.000
0.000 5.185 0.000
0.000 0.000 4.904
In Sb Ta
1 2 1
Cartesian
0.000 2.592 2.452
0.000 0.000 0.000
1.816 2.592 0.000
1.816 0.000 2.452
```

Values from the calculation:
electronic total energy: -5.217 eV per atom
ρ: 9.70 Mg/m³
total magnetization: 0.00 μB/cell
Fermi-level density of states: 2.4 states/eV/f.u.



Record 21
A geometry-optimized TaInSb2 structure. Source: Alexandria via LeMat-Bulk, functional PBE-GGA.

```
TaInSb2
1.0
3.655 0.000 0.000
0.000 4.993 0.000
0.000 0.000 4.993
In Sb Ta
1 2 1
Cartesian
1.827 0.000 2.496
0.000 0.000 0.000
0.000 2.496 2.496
1.827 2.496 0.000
```

Values from the calculation:
electronic total energy: -5.255 eV per atom
ρ: 9.83 Mg/m³
total magnetization: 0.00 μB/cell
Fermi-level density of states: 3.4 states/eV/f.u.



Record 22
A geometry-optimized TaInSb3 structure. Source: Alexandria via LeMat-Bulk, functional PBE-GGA.

```
TaInSb3
1.0
-1.339 4.576 2.554
-1.948 -2.882 4.142
4.865 0.105 2.362
Sb In Ta
3 1 1
Cartesian
-0.974 -1.441 2.071
2.433 0.053 1.181
-0.669 2.288 1.277
0.789 0.900 4.529
0.000 0.000 0.000
```

Values from the calculation:
electronic total energy: -5.060 eV per atom
ρ: 6.94 Mg/m³
total magnetization: 0.00 μB/cell
distance to the lowest polymorph of the same formula: 0 kJ/mol of formula units
Fermi-level density of states: 3.6 states/eV/f.u.



Record 23
A geometry-optimized TaInSb2 structure. Source: Alexandria via LeMat-Bulk, functional PBE-GGA.

```
TaInSb2
1.0
10.821 -0.033 -0.019
10.345 3.175 -0.019
10.345 1.536 2.779
In Sb Ta
1 2 1
Cartesian
7.655 1.136 0.666
31.233 4.637 2.716
24.058 3.571 2.092
15.832 2.350 1.377
```

Values from the calculation:
electronic total energy: -5.452 eV per atom
ρ: 9.23 Mg/m³
total magnetization: 0.00 μB/cell
Fermi-level density of states: 3.1 states/eV/f.u.



Record 24
A geometry-optimized TaInSb2 structure. Source: Alexandria via LeMat-Bulk, functional PBE-GGA.

```
TaInSb2
1.0
-1.030 -0.513 3.336
-3.197 -0.970 -1.136
2.336 -7.243 -0.392
In Sb Ta
1 2 1
Cartesian
-0.447 -5.907 0.821
0.028 -0.088 -0.005
-1.420 -2.890 0.984
1.116 -3.461 -0.187
```

Values from the calculation:
electronic total energy: -5.428 eV per atom
ρ: 9.44 Mg/m³
total magnetization: 0.00 μB/cell
Fermi-level density of states: 2.4 states/eV/f.u.



Record 25
A geometry-optimized Ta2InSb structure. Source: Alexandria via LeMat-Bulk, functional PBE-GGA.

```
Ta2InSb
1.0
2.981 0.006 0.000
-0.784 2.876 0.000
0.000 0.000 10.688
In Sb Ta
1 1 2
Cartesian
0.000 0.000 4.853
1.098 1.441 8.613
0.000 0.000 0.195
1.098 1.441 2.371
```

Values from the calculation:
electronic total energy: -7.486 eV per atom
ρ: 10.84 Mg/m³
total magnetization: 0.00 μB/cell
distance to the lowest polymorph of the same formula: 13 kJ/mol of formula units
Fermi-level density of states: 2.6 states/eV/f.u.



Record 26
A geometry-optimized Ta2InSb structure. Source: Alexandria via LeMat-Bulk, functional PBE-GGA.

```
Ta2InSb
1.0
-0.830 0.867 3.957
-0.622 -4.019 0.750
9.230 -2.681 4.684
Sb In Ta
2 2 4
Cartesian
0.000 0.000 0.000
3.837 -1.695 5.497
-0.726 -1.576 2.354
3.941 -4.138 3.894
1.718 -0.638 3.705
1.808 -3.067 2.167
6.373 -3.226 5.284
5.657 -4.735 7.626
```

Values from the calculation:
electronic total energy: -7.097 eV per atom
ρ: 11.30 Mg/m³
total magnetization: 0.00 μB/cell
distance to the lowest polymorph of the same formula: 163 kJ/mol of formula units
Fermi-level density of states: 4.3 states/eV/f.u.



Record 27
A geometry-optimized Ta2InSb structure. Source: Alexandria via LeMat-Bulk, functional PBE-GGA.

```
Ta2InSb
1.0
5.483 0.003 0.005
-2.846 5.135 -0.010
0.556 0.953 2.862
In Sb Ta
1 1 2
Cartesian
1.319 2.569 -0.002
3.019 0.478 1.434
0.000 0.000 0.000
-1.145 3.044 1.426
```

Values from the calculation:
electronic total energy: -7.316 eV per atom
ρ: 12.32 Mg/m³
total magnetization: 0.00 μB/cell
distance to the lowest polymorph of the same formula: 79 kJ/mol of formula units
Fermi-level density of states: 2.5 states/eV/f.u.



Record 28
A geometry-optimized TaInSb2 structure. Source: Alexandria via LeMat-Bulk, functional PBE-GGA.

```
TaInSb2
1.0
3.168 0.016 0.000
-0.837 3.055 0.000
0.000 0.000 10.633
In Sb Ta
1 2 1
Cartesian
1.165 1.536 7.975
0.000 0.000 0.543
0.000 0.000 4.774
1.165 1.536 2.658
```

Values from the calculation:
electronic total energy: -5.579 eV per atom
ρ: 8.69 Mg/m³
total magnetization: 0.00 μB/cell
Fermi-level density of states: 2.8 states/eV/f.u.



Record 29
A geometry-optimized TaInSb2 structure. Source: Alexandria via LeMat-Bulk, functional PBE-GGA.

```
TaInSb2
1.0
5.109 0.000 0.000
2.554 4.424 0.000
2.554 1.475 4.171
In Sb Ta
1 2 1
Cartesian
5.109 2.950 2.086
0.000 0.000 0.000
7.663 4.424 3.129
2.554 1.475 1.043
```

Values from the calculation:
electronic total energy: -5.061 eV per atom
ρ: 9.50 Mg/m³
total magnetization: 0.70 μB/cell
Fermi-level density of states: 4.5 states/eV/f.u.